<A>
First-principles (PBE) data for a geometry-optimized TiAuI2 structure, as listed in Alexandria via LeMat-Bulk.

a b c (Å): 7.3606 7.3606 7.3606
angles (deg): 90.00 90.00 90.00
Closest atoms and distances in Å follow each position.
Space group Fm-3m (No. 225)
Inequivalent atoms, fractional coordinates:
Ti  0.0000  0.0000  0.0000 (multiplicity 4)  8 I 3.19
Au  0.0000  0.0000  0.5000 (multiplicity 4)  8 I 3.19
I  0.2500  0.2500  0.2500 (multiplicity 8)  4 Au 3.19, 4 Ti 3.19

Calculated values
**Magnetization**: 0.39 μB per atom

<B>
First-principles (PBE) data for a geometry-optimized TiAuI2 structure, as listed in Alexandria via LeMat-Bulk.

a b c (Å): 6.7738 6.7738 12.6081
angles (deg): 90.00 90.00 90.00
Closest atoms and distances in Å follow each position.
Space group I-42d (No. 122)
Inequivalent atoms, fractional coordinates:
Ti  0.0000  0.0000  0.0000 (multiplicity 4)  4 I 2.77
Au  0.0000  0.0000  0.5000 (multiplicity 4)  4 I 2.98
I  0.2237  0.2500  0.1250 (multiplicity 8)  2 Ti 2.77, 2 Au 2.98

Calculated values
**Magnetization**: 0.57 μB per atom

Quick one: least stable of them? <A>

<A>
First-principles (PBE) data for a geometry-optimized TlAu2I2 structure, as listed in Alexandria via LeMat-Bulk.

a b c (Å): 4.0510 4.0510 18.2026
angles (deg): 90.00 90.00 90.00
Closest atoms and distances in Å follow each position.
Space group I4/mmm (No. 139)
Inequivalent atoms, fractional coordinates:
Tl  0.0000  0.0000  0.0000 (multiplicity 2)  8 I 3.52
Au  0.0000  0.5000  0.2500 (multiplicity 4)  4 Au 2.86
I  0.0000  0.0000  0.3873 (multiplicity 4)  4 Au 3.22, 4 Tl 3.52

Calculated values
**Magnetization**: 0.00 μB per atom

<B>
First-principles (PBE) data for a geometry-optimized TlAu2I2 structure, as listed in Alexandria via LeMat-Bulk.

a b c (Å): 5.9764 5.9764 8.6376
angles (deg): 90.00 90.00 90.00
Closest atoms and distances in Å follow each position.
Space group I4/mmm (No. 139)
Inequivalent atoms, fractional coordinates:
Tl  0.0000  0.0000  0.0000 (multiplicity 2)  2 Au 2.93
Au  0.0000  0.0000  0.3388 (multiplicity 4)  1 Au 2.79, 1 Tl 2.93, 4 I 3.09
I  0.0000  0.5000  0.2500 (multiplicity 4)  4 Au 3.09

Calculated values
**Magnetization**: 0.00 μB per atom

Quick one: least stable of them? <B>